(1)
This record from the Alexandria database describes an optimized crystal structure of PuBe5Pt4. The functional is GGA-PBE.

E_form ... -0.588 eV per atom

POSCAR file:
```
PuBe5Pt4
1.0
-2.020 -1.866 -0.727
-0.659 -0.355 2.744
-10.261 11.491 -0.977
Pt Be Pu
4 5 1
Direct
0.000 0.000 0.593 Pt
0.000 0.000 0.407 Pt
0.000 0.000 0.781 Pt
0.000 0.000 0.219 Pt
0.500 0.500 0.136 Be
0.500 0.500 0.686 Be
0.500 0.500 0.864 Be
0.500 0.500 0.500 Be
0.500 0.500 0.314 Be
0.000 0.000 0.000 Pu
```



(2)
This record from the Alexandria database describes an optimized crystal structure of PrPuH2. The functional is GGA-PBE.

Final energy ... -6.73 eV per atom

POSCAR file:
```
PrPuH2
1.0
-3.184 -1.136 -1.119
-0.287 -3.134 -1.667
-2.017 -4.083 4.219
H Pu Pr
2 1 1
Direct
0.248 0.248 0.255 H
0.752 0.752 0.745 H
0.500 0.500 0.500 Pu
0.000 0.000 0.000 Pr
```



(3)
This record from the Alexandria database describes an optimized crystal structure of Sn2PCl. The functional is GGA-PBE.

ΔE to the lowest computed polymorph ... 221 meV/atom
ΔE_f (raw) ... -100 meV/atom

POSCAR file:
```
Sn2PCl
1.0
-1.045 3.122 6.897
3.105 -6.173 3.265
4.427 0.073 4.872
Sn P Cl
4 2 2
Direct
0.587 0.125 0.250 Sn
0.163 0.625 0.250 Sn
0.375 0.413 0.750 Sn
0.875 0.837 0.750 Sn
0.500 0.500 0.000 P
0.250 0.750 0.500 P
0.000 0.000 0.000 Cl
0.750 0.250 0.500 Cl
```



(4)
This record from the Alexandria database describes an optimized crystal structure of BaNbP3. The functional is GGA-PBE.

E_form ... 2.047 eV per atom
ΔE to the lowest computed polymorph ... 2560 meV/atom

POSCAR file:
```
BaNbP3
1.0
5.319 0.000 0.000
0.000 5.319 0.000
0.000 0.000 5.319
P Ba Nb
3 1 1
Direct
0.500 0.000 0.000 P
0.000 0.000 0.500 P
0.000 0.500 0.000 P
0.000 0.000 0.000 Ba
0.500 0.500 0.500 Nb
```



(5)
This record from the Alexandria database describes an optimized crystal structure of TmGeHIr. The functional is GGA-PBE.

Final energy ... -6.08 eV per atom

POSCAR file:
```
TmGeHIr
1.0
-3.952 -0.870 0.534
0.684 -0.670 3.968
-1.318 6.833 1.381
H Ir Tm Ge
2 2 2 2
Direct
0.500 0.500 0.500 H
0.000 0.000 0.500 H
0.500 0.500 0.000 Ir
0.000 0.000 0.000 Ir
0.500 0.000 0.658 Tm
0.000 0.500 0.342 Tm
0.000 0.500 0.798 Ge
0.500 0.000 0.202 Ge
```



(6)
This record from the Alexandria database describes an optimized crystal structure of Dy3Er4Tm5. The functional is GGA-PBE.

E_form ... 0.255 eV per atom
ΔE to the lowest computed polymorph ... 232 meV/atom

POSCAR file:
```
Dy3Er4Tm5
1.0
-4.417 3.680 0.680
-3.550 1.666 -7.431
-6.670 -4.396 5.109
Er Tm Dy
4 5 3
Direct
0.859 0.222 0.060 Er
0.834 0.953 0.378 Er
0.141 0.778 0.940 Er
0.166 0.047 0.622 Er
0.213 0.459 0.114 Tm
0.500 0.500 0.500 Tm
0.374 0.053 0.199 Tm
0.787 0.541 0.886 Tm
0.626 0.947 0.801 Tm
0.000 0.500 0.500 Dy
0.523 0.686 0.267 Dy
0.477 0.314 0.733 Dy
```



So what do the calculations give for magnetic moment? Going down the list: 0.480 1.462 0.000 0.005 0.000 0.042 μB/atom.